[1]
A plane-wave DFT calculation with PBE-GGA was carried out for an optimized crystal structure of MgRhW2.

Unit cell a=7.471 b=7.471 c=5.871 alpha=50.49 beta=50.49 gamma=90.00
Fractional coordinates of all 8 atoms:
Mg 0.500 0.500 0.000
Mg 0.250 0.750 0.500
Rh 0.000 0.000 0.000
Rh 0.750 0.250 0.500
W 0.666 0.125 0.250
W 0.084 0.625 0.250
W 0.375 0.334 0.750
W 0.875 0.916 0.750

Values from the calculation:
Formation enthalpy at 0 K = 763 meV/atom
DOS(E_F) = 3.37 states/eV/f.u.
Magnetization = 0.000 μB per atom

=====

[2]
A plane-wave DFT calculation with PBE-GGA was carried out for an optimized crystal structure of MgZnRh2W.

Unit cell a=4.529 b=4.370 c=4.529 alpha=90.00 beta=90.00 gamma=90.00
Each line ends with the local moment (μB).
Fractional coordinates of all 5 atoms:
Zn 0.000 0.000 0.000  -0.01
Rh 0.000 0.000 0.500  0.14
Rh 0.500 0.000 0.000  0.21
Mg 0.000 0.500 0.000  0.00
W 0.500 0.500 0.500  1.93

Values from the calculation:
Formation enthalpy at 0 K = 1138 meV/atom
DOS(E_F) = 4.63 states/eV/f.u.
Magnetization = 0.564 μB per atom

=====

[3]
A plane-wave DFT calculation with PBE-GGA was carried out for an optimized crystal structure of Y2Mg2Rh.

Unit cell a=7.144 b=7.144 c=5.372 alpha=90.00 beta=90.00 gamma=90.00
Fractional coordinates of all 10 atoms:
Y 0.336 0.836 0.000
Y 0.836 0.664 0.000
Y 0.664 0.164 0.000
Y 0.164 0.336 0.000
Mg 0.153 0.653 0.500
Mg 0.653 0.847 0.500
Mg 0.847 0.347 0.500
Mg 0.347 0.153 0.500
Rh 0.000 0.000 0.000
Rh 0.500 0.500 0.000

Values from the calculation:
Formation enthalpy at 0 K = 9 meV/atom
DOS(E_F) = 6.34 states/eV/f.u.
Energy above the most stable polymorph in this dataset = 107 meV/atom
Magnetization = 0.000 μB per atom

=====

[4]
A plane-wave DFT calculation with PBE-GGA was carried out for an optimized crystal structure of Y3Mg9Rh2.

Unit cell a=4.897 b=8.445 c=8.445 alpha=79.05 beta=73.15 gamma=73.15
Fractional coordinates of all 14 atoms:
Y 0.000 0.000 0.000
Y 0.691 0.309 0.309
Y 0.309 0.691 0.691
Mg 0.000 0.500 0.500
Mg 0.632 0.006 0.731
Mg 0.368 0.994 0.269
Mg 0.632 0.731 0.006
Mg 0.368 0.269 0.994
Mg 0.873 0.849 0.405
Mg 0.127 0.151 0.595
Mg 0.873 0.405 0.849
Mg 0.127 0.595 0.151
Rh 0.500 0.346 0.654
Rh 0.500 0.654 0.346

Values from the calculation:
Formation enthalpy at 0 K = -227 meV/atom
DOS(E_F) = 10.43 states/eV/f.u.
Magnetization = 0.000 μB per atom

=====

[5]
A plane-wave DFT calculation with PBE-GGA was carried out for an optimized crystal structure of Y2MgRh.

Unit cell a=3.546 b=3.548 c=8.410 alpha=65.08 beta=90.00 gamma=90.00
Fractional coordinates of all 4 atoms:
Y 0.000 0.036 0.964
Y 0.000 0.464 0.536
Mg 0.500 0.250 0.250
Rh 0.500 0.750 0.750

Values from the calculation:
Formation enthalpy at 0 K = -478 meV/atom
DOS(E_F) = 3.19 states/eV/f.u.
Magnetization = 0.000 μB per atom

=====

[6]
A plane-wave DFT calculation with PBE-GGA was carried out for an optimized crystal structure of Y4Mg3Rh.

Unit cell a=3.613 b=3.613 c=15.679 alpha=90.00 beta=90.00 gamma=90.00
Fractional coordinates of all 8 atoms:
Y 0.000 0.000 0.898
Y 0.000 0.000 0.102
Y 0.000 0.000 0.371
Y 0.000 0.000 0.629
Mg 0.500 0.500 0.240
Mg 0.500 0.500 0.500
Mg 0.500 0.500 0.760
Rh 0.500 0.500 0.000

Values from the calculation:
Formation enthalpy at 0 K = -289 meV/atom
DOS(E_F) = 7.21 states/eV/f.u.
Magnetization = 0.000 μB per atom

=====

[7]
A plane-wave DFT calculation with PBE-GGA was carried out for an optimized crystal structure of Y4MgRh5.

Unit cell a=3.401 b=3.401 c=16.673 alpha=90.00 beta=90.00 gamma=90.00
Fractional coordinates of all 10 atoms:
Y 0.000 0.000 0.188
Y 0.000 0.000 0.396
Y 0.000 0.000 0.604
Y 0.000 0.000 0.812
Mg 0.000 0.000 0.000
Rh 0.500 0.500 0.088
Rh 0.500 0.500 0.294
Rh 0.500 0.500 0.500
Rh 0.500 0.500 0.706
Rh 0.500 0.500 0.912

Values from the calculation:
Formation enthalpy at 0 K = -770 meV/atom
DOS(E_F) = 4.64 states/eV/f.u.
Magnetization = 0.000 μB per atom

=====

[8]
A plane-wave DFT calculation with PBE-GGA was carried out for an optimized crystal structure of Y2MgRh.

Unit cell a=5.596 b=5.596 c=5.596 alpha=137.77 beta=122.89 gamma=73.53
Fractional coordinates of all 4 atoms:
Mg 0.750 0.250 0.500
Rh 0.250 0.750 0.500
Y 0.042 0.042 0.000
Y 0.458 0.458 0.000

Values from the calculation:
Formation enthalpy at 0 K = -385 meV/atom
DOS(E_F) = 2.93 states/eV/f.u.
Magnetization = 0.000 μB per atom

=====

[9]
A plane-wave DFT calculation with PBE-GGA was carried out for an optimized crystal structure of YMg5Rh2.

Unit cell a=4.146 b=6.684 c=6.684 alpha=77.06 beta=71.93 gamma=71.93
Fractional coordinates of all 8 atoms:
Y 0.000 0.000 0.000
Mg 0.000 0.500 0.500
Mg 0.333 0.484 0.849
Mg 0.667 0.516 0.151
Mg 0.667 0.151 0.516
Mg 0.333 0.849 0.484
Rh 0.276 0.224 0.224
Rh 0.724 0.776 0.776

Values from the calculation:
Formation enthalpy at 0 K = -369 meV/atom
DOS(E_F) = 3.94 states/eV/f.u.
Magnetization = 0.000 μB per atom

=====

[10]
A plane-wave DFT calculation with PBE-GGA was carried out for an optimized crystal structure of Y2MgRh.

Unit cell a=4.979 b=4.979 c=4.979 alpha=60.00 beta=60.00 gamma=60.00
Fractional coordinates of all 4 atoms:
Mg 0.500 0.500 0.500
Rh 0.750 0.750 0.750
Y 0.000 0.000 0.000
Y 0.250 0.250 0.250

Values from the calculation:
Formation enthalpy at 0 K = -222 meV/atom
DOS(E_F) = 3.19 states/eV/f.u.
Magnetization = 0.000 μB per atom

=====

[11]
A plane-wave DFT calculation with PBE-GGA was carried out for an optimized crystal structure of Y2MgRh.

Unit cell a=5.863 b=5.863 c=5.863 alpha=137.15 beta=137.15 gamma=62.21
Fractional coordinates of all 4 atoms:
Mg 0.500 0.500 0.000
Rh 0.750 0.250 0.500
Y 0.000 0.000 0.000
Y 0.250 0.750 0.500

Values from the calculation:
Formation enthalpy at 0 K = -230 meV/atom
DOS(E_F) = 4.04 states/eV/f.u.
Magnetization = 0.000 μB per atom

=====

[12]
A plane-wave DFT calculation with PBE-GGA was carried out for an optimized crystal structure of Y2MgRh.

Unit cell a=7.957 b=4.971 c=3.713 alpha=90.01 beta=62.17 gamma=128.76
Fractional coordinates of all 4 atoms:
Mg 0.000 0.500 0.500
Rh 0.500 0.500 0.000
Y 0.000 0.000 0.000
Y 0.500 0.000 0.500

Values from the calculation:
Formation enthalpy at 0 K = -399 meV/atom
DOS(E_F) = 2.59 states/eV/f.u.
Magnetization = 0.000 μB per atom